1.
Computed, not measured: Be2CoAgB after structural relaxation at the PBE-GGA level of DFT.

Output
Total moment (μB/atom): 0.00
DFT total energy (Ha/atom): -0.1210
Theoretical density (Mg/m³): 4.5
Calculated volume (A^3/atom): 14.5

Lattice parameters (Å, degrees): 3.8824 3.8824 4.8198 90.00 90.00 90.00
Space group P4/mmm (No. 123)
Unique sites:
1 Be 0.0000 0.5000 0.0000 (multiplicity 2)
2 Co 0.0000 0.0000 0.0000 (multiplicity 1)
3 Ag 0.0000 0.0000 0.5000 (multiplicity 1)
4 B 0.5000 0.5000 0.5000 (multiplicity 1)

2.
Computed, not measured: CsBeAg2B after structural relaxation at the PBE-GGA level of DFT.

Output
Total moment (μB/atom): 0.00
DFT total energy (Ha/atom): -0.0815
Theoretical density (Mg/m³): 4.9
Calculated volume (A^3/atom): 24.9

Lattice parameters (Å, degrees): 4.5364 4.5364 6.0483 90.00 90.00 90.00
Space group P4/mmm (No. 123)
Unique sites:
1 Cs 0.0000 0.0000 0.0000 (multiplicity 1)
2 Be 0.5000 0.5000 0.0000 (multiplicity 1)
3 Ag 0.0000 0.5000 0.5000 (multiplicity 2)
4 B 0.0000 0.0000 0.5000 (multiplicity 1)

3.
Computed, not measured: Be2AgBH after structural relaxation at the PBE-GGA level of DFT.

Output
Total moment (μB/atom): 0.00
DFT total energy (Ha/atom): -0.1271
Theoretical density (Mg/m³): 4.0
Calculated volume (A^3/atom): 11.5

Lattice parameters (Å, degrees): 3.5150 3.5150 4.6381 90.00 90.00 90.00
Space group P4/mmm (No. 123)
Unique sites:
1 Be 0.0000 0.5000 0.0000 (multiplicity 2)
2 Ag 0.0000 0.0000 0.5000 (multiplicity 1)
3 B 0.0000 0.0000 0.0000 (multiplicity 1)
4 H 0.5000 0.5000 0.5000 (multiplicity 1)

4.
Computed, not measured: BeAgB2H after structural relaxation at the PBE-GGA level of DFT.

Output
Total moment (μB/atom): 0.00
DFT total energy (Ha/atom): -0.1261
Theoretical density (Mg/m³): 5.5
Calculated volume (A^3/atom): 8.5

Lattice parameters (Å, degrees): 3.3952 3.3952 3.6845 90.00 90.00 90.00
Space group P4/mmm (No. 123)
Unique sites:
1 Be 0.0000 0.0000 0.0000 (multiplicity 1)
2 Ag 0.5000 0.5000 0.0000 (multiplicity 1)
3 B 0.0000 0.5000 0.5000 (multiplicity 2)
4 H 0.0000 0.0000 0.5000 (multiplicity 1)

5.
Computed, not measured: HfBe2AgB after structural relaxation at the PBE-GGA level of DFT.

Output
Total moment (μB/atom): 0.00
DFT total energy (Ha/atom): -0.1064
Theoretical density (Mg/m³): 4.3
Calculated volume (A^3/atom): 24.4

Lattice parameters (Å, degrees): 4.8126 4.8126 5.2586 90.00 90.00 90.00
Space group P4/mmm (No. 123)
Unique sites:
1 Hf 0.0000 0.0000 0.0000 (multiplicity 1)
2 Be 0.0000 0.5000 0.0000 (multiplicity 2)
3 Ag 0.0000 0.0000 0.5000 (multiplicity 1)
4 B 0.5000 0.5000 0.5000 (multiplicity 1)

6.
Computed, not measured: MgBeAgB2 after structural relaxation at the PBE-GGA level of DFT.

Output
Total moment (μB/atom): 0.00
DFT total energy (Ha/atom): -0.0856
Theoretical density (Mg/m³): 3.2
Calculated volume (A^3/atom): 16.7

Lattice parameters (Å, degrees): 4.2892 4.2892 4.5375 90.00 90.00 90.00
Space group P4/mmm (No. 123)
Unique sites:
1 Mg 0.0000 0.0000 0.0000 (multiplicity 1)
2 Be 0.0000 0.0000 0.5000 (multiplicity 1)
3 Ag 0.5000 0.5000 0.5000 (multiplicity 1)
4 B 0.0000 0.5000 0.0000 (multiplicity 2)

7.
Computed, not measured: BeAg2BRu after structural relaxation at the PBE-GGA level of DFT.

Output
Total moment (μB/atom): 0.00
DFT total energy (Ha/atom): -0.1665
Theoretical density (Mg/m³): 7.7
Calculated volume (A^3/atom): 14.5

Lattice parameters (Å, degrees): 4.2460 4.2460 4.0305 90.00 90.00 90.00
Space group P4/mmm (No. 123)
Unique sites:
1 Be 0.0000 0.0000 0.0000 (multiplicity 1)
2 Ag 0.0000 0.5000 0.5000 (multiplicity 2)
3 B 0.5000 0.5000 0.5000 (multiplicity 1)
4 Ru 0.5000 0.5000 0.0000 (multiplicity 1)

8.
Computed, not measured: Be2AgBS after structural relaxation at the PBE-GGA level of DFT.

Output
Formation energy (no corrections) (eV per atom): 1.247
Total moment (μB/atom): 0.00
Theoretical density (Mg/m³): 3.7
Calculated volume (A^3/atom): 15.1

Lattice parameters (Å, degrees): 3.8730 3.8730 5.0225 90.00 90.00 90.00
Space group P4/mmm (No. 123)
Unique sites:
1 Be 0.0000 0.5000 0.0000 (multiplicity 2)
2 Ag 0.0000 0.0000 0.5000 (multiplicity 1)
3 B 0.5000 0.5000 0.5000 (multiplicity 1)
4 S 0.0000 0.0000 0.0000 (multiplicity 1)

9.
Computed, not measured: BeAg2BS after structural relaxation at the PBE-GGA level of DFT.

Output
Formation energy (no corrections) (eV per atom): 0.608
Total moment (μB/atom): 0.00
Theoretical density (Mg/m³): 5.9
Calculated volume (A^3/atom): 15.2

Lattice parameters (Å, degrees): 4.5327 4.5327 3.6952 90.00 90.00 90.00
Space group P4/mmm (No. 123)
Unique sites:
1 Be 0.0000 0.0000 0.0000 (multiplicity 1)
2 Ag 0.0000 0.5000 0.5000 (multiplicity 2)
3 B 0.0000 0.0000 0.5000 (multiplicity 1)
4 S 0.5000 0.5000 0.0000 (multiplicity 1)

10.
Computed, not measured: Be2TcAgB after structural relaxation at the PBE-GGA level of DFT.

Output
Total moment (μB/atom): 0.00
DFT total energy (Ha/atom): -0.1671
Theoretical density (Mg/m³): 5.4
Calculated volume (A^3/atom): 14.4

Lattice parameters (Å, degrees): 4.2391 4.2391 4.0067 90.00 90.00 90.00
Space group P4/mmm (No. 123)
Unique sites:
1 Be 0.0000 0.5000 0.0000 (multiplicity 2)
2 Tc 0.0000 0.0000 0.0000 (multiplicity 1)
3 Ag 0.5000 0.5000 0.5000 (multiplicity 1)
4 B 0.0000 0.0000 0.5000 (multiplicity 1)

11.
Computed, not measured: YBeAgB2 after structural relaxation at the PBE-GGA level of DFT.

Output
Total moment (μB/atom): 0.00
DFT total energy (Ha/atom): -0.1595
Theoretical density (Mg/m³): 5.0
Calculated volume (A^3/atom): 15.1

Lattice parameters (Å, degrees): 4.2278 4.2278 4.2289 90.00 90.00 90.00
Space group P4/mmm (No. 123)
Unique sites:
1 Y 0.0000 0.0000 0.0000 (multiplicity 1)
2 Be 0.5000 0.5000 0.0000 (multiplicity 1)
3 Ag 0.5000 0.5000 0.5000 (multiplicity 1)
4 B 0.0000 0.5000 0.5000 (multiplicity 2)

12.
Computed, not measured: ZrBeAgB2 after structural relaxation at the PBE-GGA level of DFT.

Output
Total moment (μB/atom): 0.00
DFT total energy (Ha/atom): -0.1364
Theoretical density (Mg/m³): 3.7
Calculated volume (A^3/atom): 20.6

Lattice parameters (Å, degrees): 4.3766 4.3766 5.3645 90.00 90.00 90.00
Space group P4/mmm (No. 123)
Unique sites:
1 Zr 0.0000 0.0000 0.0000 (multiplicity 1)
2 Be 0.5000 0.5000 0.5000 (multiplicity 1)
3 Ag 0.0000 0.0000 0.5000 (multiplicity 1)
4 B 0.0000 0.5000 0.0000 (multiplicity 2)

Q: Among the records above, which one has the lowest theoretical density?
A: MgBeAgB2

Q: What is the theoretical density in the twelfth record?
A: 3.7 Mg/m³